Na2NpPN4: relaxed, PBE-GGA.

Unit cell a=5.3961 b=5.3961 c=5.3961 alpha=116.91 beta=116.91 gamma=95.45
Fractional positions:
Na: 0.0000 0.0000 0.0000
Na: 0.7500 0.2500 0.5000
Np: 0.2500 0.7500 0.5000
P: 0.5000 0.5000 0.0000
N: 0.2216 0.5652 0.0415
N: 0.4348 0.4764 0.6564
N: 0.5236 0.1801 0.9585
N: 0.8199 0.7784 0.3436

**Total moment**: 0.250 μB per atom
**Raw total energy**: -7.28 eV/atom